! PBE-GGA Pm4BiC, optimized geometry; values from VASP
&SYSTEM
  ibrav = 0, nat = 12, ntyp = 3
/
ATOMIC_SPECIES
Pm 145.00 Pm.upf
Bi 208.98 Bi.upf
C 12.01 C.upf
ATOMIC_POSITIONS angstrom
Pm 2.949 1.417 2.745
Pm 5.485 6.248 9.715
Pm 5.021 5.533 5.684
Pm 3.413 2.132 6.776
Pm 6.630 3.224 8.308
Pm 0.366 0.838 5.538
Pm 8.068 6.828 6.921
Pm 1.803 4.441 4.151
Bi 5.608 2.526 4.225
Bi 2.826 5.140 8.235
C 4.947 0.564 7.903
C 3.486 7.101 4.556
CELL_PARAMETERS angstrom
6.576 -0.474 0.929
1.862 7.278 4.215
-0.005 0.862 7.316
! final energy = -5.565 eV per atom
! formation energy from the elements = -0.214 eV per atom
! magnetic moment = 0.000 μB per atom
! energy above the most stable polymorph in this dataset = 87 meV per atom